[1]
VASP calculation (PBE) on a relaxed SrInPb crystal.

a = 4.936 Å, b = 9.922 Å, c = 8.024 Å
α = 90.00°, β = 90.00°, γ = 90.00°
Element x y z (fractional)
In1 0.250 0.419 0.343
Sr1 0.250 0.806 0.481
Sr2 0.750 0.194 0.519
In2 0.750 0.919 0.157
Sr3 0.750 0.306 0.019
Pb1 0.250 0.402 0.736
Pb2 0.750 0.902 0.764
In3 0.750 0.581 0.657
In4 0.250 0.081 0.843
Pb3 0.750 0.598 0.264
Sr4 0.250 0.694 0.981
Pb4 0.250 0.098 0.236

DFT formation energy	-1.236	eV per formula unit

[2]
VASP calculation (PBE) on a relaxed Sr2InPb crystal.

a = 7.760 Å, b = 7.760 Å, c = 7.760 Å
α = 59.04°, β = 151.58°, γ = 129.41°
Element x y z (fractional)
Pb1 0.000 0.500 0.500
Sr1 0.000 0.248 0.248
Sr2 0.000 0.752 0.752
In1 0.000 0.000 0.000

DFT formation energy	0.830	eV per formula unit

[3]
VASP calculation (PBE) on a relaxed Sr2InPb crystal.

a = 9.060 Å, b = 9.060 Å, c = 7.426 Å
α = 52.41°, β = 52.41°, γ = 90.00°
Element x y z (fractional)
In1 0.250 0.750 0.500
Sr1 0.375 0.374 0.750
Sr2 0.124 0.625 0.250
Pb1 0.000 0.000 0.000
In2 0.500 0.500 0.000
Sr3 0.626 0.125 0.250
Pb2 0.750 0.250 0.500
Sr4 0.875 0.876 0.750

DFT formation energy	-0.566	eV per formula unit

[4]
VASP calculation (PBE) on a relaxed Sr2InPb5 crystal.

a = 4.930 Å, b = 7.140 Å, c = 14.320 Å
α = 90.00°, β = 90.00°, γ = 90.00°
Element x y z (fractional)
Sr1 0.500 0.254 0.375
In1 0.000 0.000 0.500
In2 0.000 0.500 0.000
Sr2 0.500 0.754 0.125
Pb1 0.000 0.000 0.000
Pb2 0.000 0.006 0.250
Pb3 0.500 0.256 0.124
Pb4 0.500 0.744 0.876
Pb5 0.000 0.994 0.750
Pb6 0.000 0.500 0.500
Sr3 0.500 0.746 0.625
Pb7 0.500 0.756 0.376
Pb8 0.000 0.494 0.750
Pb9 0.500 0.244 0.624
Pb10 0.000 0.506 0.250
Sr4 0.500 0.246 0.875

DFT formation energy	-2.751	eV per formula unit

[5]
VASP calculation (PBE) on a relaxed Sr3In2Pb4 crystal.

a = 4.905 Å, b = 7.081 Å, c = 10.119 Å
α = 110.56°, β = 90.00°, γ = 110.26°
Element x y z (fractional)
Sr1 0.630 0.261 0.687
Sr2 0.000 0.000 0.000
Pb1 0.927 0.854 0.615
Pb2 0.694 0.388 0.045
Pb3 0.306 0.612 0.955
Sr3 0.370 0.739 0.313
In1 0.697 0.394 0.352
In2 0.303 0.606 0.648
Pb4 0.073 0.146 0.385

DFT formation energy	-3.447	eV per formula unit

[6]
VASP calculation (PBE) on a relaxed Sr2In3Pb crystal.

a = 5.033 Å, b = 6.590 Å, c = 6.755 Å
α = 73.61°, β = 68.13°, γ = 67.55°
Element x y z (fractional)
Sr1 0.446 0.802 0.306
In1 0.830 0.622 0.719
Sr2 0.554 0.198 0.694
Pb1 0.159 0.382 0.299
In2 0.851 0.219 0.079
In3 0.160 0.777 0.903

DFT formation energy	-2.491	eV per formula unit

[7]
VASP calculation (PBE) on a relaxed Sr2InPb crystal.

a = 10.827 Å, b = 10.827 Å, c = 10.827 Å
α = 21.43°, β = 21.43°, γ = 21.43°
Element x y z (fractional)
In1 0.250 0.250 0.250
Pb1 0.750 0.750 0.750
Sr1 0.999 0.999 0.999
Sr2 0.501 0.501 0.501

DFT formation energy	-1.173	eV per formula unit

[8]
VASP calculation (PBE) on a relaxed Sr4In2Pb crystal.

a = 5.769 Å, b = 5.769 Å, c = 9.964 Å
α = 73.17°, β = 73.17°, γ = 60.00°
Element x y z (fractional)
Pb1 0.000 0.000 0.000
Sr1 0.377 0.377 0.869
In1 0.251 0.251 0.247
In2 0.749 0.749 0.753
Sr2 0.623 0.623 0.131
Sr3 0.874 0.874 0.377
Sr4 0.126 0.126 0.623

DFT formation energy	-2.506	eV per formula unit

[9]
VASP calculation (PBE) on a relaxed Sr3In4Pb2 crystal.

a = 5.028 Å, b = 6.765 Å, c = 9.977 Å
α = 68.65°, β = 75.41°, γ = 68.18°
Element x y z (fractional)
In1 0.997 0.350 0.656
Sr1 0.684 0.284 0.347
Pb1 0.618 0.055 0.709
Pb2 0.382 0.945 0.291
Sr2 0.316 0.716 0.653
In2 0.751 0.578 0.921
Sr3 0.000 0.000 0.000
In3 0.249 0.422 0.079
In4 0.003 0.650 0.344

DFT formation energy	-3.621	eV per formula unit

[10]
VASP calculation (PBE) on a relaxed SrIn6Pb3 crystal.

a = 4.439 Å, b = 11.280 Å, c = 12.573 Å
α = 101.17°, β = 90.00°, γ = 90.00°
Element x y z (fractional)
In1 0.250 0.743 0.507
Sr1 0.750 0.694 0.709
Pb1 0.750 0.806 0.329
In2 0.750 0.257 0.493
In3 0.750 0.889 0.954
Pb2 0.250 0.194 0.671
In4 0.250 0.936 0.782
Pb3 0.250 0.585 0.215
Sr2 0.250 0.306 0.291
In5 0.250 0.463 0.585
In6 0.250 0.031 0.409
Pb4 0.750 0.415 0.785
In7 0.250 0.111 0.046
In8 0.250 0.385 0.990
Pb5 0.750 0.159 0.872
In9 0.750 0.064 0.218
In10 0.750 0.537 0.415
In11 0.750 0.969 0.591
In12 0.750 0.615 0.010
Pb6 0.250 0.841 0.128

DFT formation energy	-0.596	eV per formula unit

[11]
VASP calculation (PBE) on a relaxed SrIn2Pb crystal.

a = 4.077 Å, b = 4.077 Å, c = 7.527 Å
α = 90.00°, β = 90.00°, γ = 90.00°
Element x y z (fractional)
In1 0.000 0.000 0.464
Pb1 0.500 0.500 0.250
Sr1 0.500 0.500 0.750
In2 0.000 0.000 0.036

DFT formation energy	-0.985	eV per formula unit

[12]
VASP calculation (PBE) on a relaxed SrTbInPb crystal.

a = 5.587 Å, b = 5.587 Å, c = 5.587 Å
α = 60.00°, β = 60.00°, γ = 60.00°
Element x y z (fractional)
Sr1 0.000 0.000 0.000
Pb1 0.250 0.250 0.250
Tb1 0.500 0.500 0.500
In1 0.750 0.750 0.750

DFT formation energy	-1.572	eV per formula unit

[13]
VASP calculation (PBE) on a relaxed Sr2InTe4Pb crystal.

a = 4.633 Å, b = 8.164 Å, c = 8.084 Å
α = 70.86°, β = 90.00°, γ = 90.00°
Element x y z (fractional)
In1 0.500 0.500 0.000
Sr1 0.500 0.000 0.500
Te1 0.000 0.740 0.757
Te2 0.500 0.257 0.752
Te3 0.000 0.260 0.243
Te4 0.500 0.743 0.248
Pb1 0.000 0.500 0.500
Sr2 0.000 0.000 0.000

E_form (uncorrected)	-0.964	eV per atom

[14]
VASP calculation (PBE) on a relaxed Sr2TlIn4Pb2 crystal.

a = 7.639 Å, b = 7.639 Å, c = 7.639 Å
α = 83.85°, β = 123.61°, γ = 123.61°
Element x y z (fractional)
In1 0.000 0.281 0.719
Pb1 0.500 0.250 0.750
In2 0.438 0.719 0.719
Sr1 0.000 0.725 0.725
Tl1 0.000 0.000 0.000
Sr2 0.000 0.275 0.275
In3 0.000 0.719 0.281
Pb2 0.500 0.750 0.250
In4 0.562 0.281 0.281

DFT formation energy	-0.598	eV per formula unit

[15]
VASP calculation (PBE) on a relaxed SrTlInPb crystal.

a = 5.065 Å, b = 4.802 Å, c = 5.020 Å
α = 90.00°, β = 90.00°, γ = 90.00°
Element x y z (fractional)
Pb1 0.500 0.000 0.500
In1 0.500 0.500 0.000
Sr1 0.000 0.500 0.500
Tl1 0.000 0.000 0.000

DFT formation energy	-1.201	eV per formula unit

[16]
VASP calculation (PBE) on a relaxed SrTl2In2Pb crystal.

a = 5.381 Å, b = 9.914 Å, c = 6.803 Å
α = 90.00°, β = 90.00°, γ = 90.00°
Element x y z (fractional)
In1 0.500 0.165 0.235
Sr1 0.000 0.000 0.500
In2 0.500 0.835 0.765
Pb1 0.000 0.000 0.000
Pb2 0.500 0.500 0.500
In3 0.000 0.335 0.735
Tl1 0.000 0.668 0.754
Tl2 0.000 0.332 0.246
In4 0.000 0.665 0.265
Tl3 0.500 0.168 0.746
Sr2 0.500 0.500 0.000
Tl4 0.500 0.832 0.254

DFT formation energy	-1.012	eV per formula unit

[17]
VASP calculation (PBE) on a relaxed SrTl2InPb crystal.

a = 3.862 Å, b = 8.176 Å, c = 10.616 Å
α = 90.00°, β = 90.00°, γ = 103.66°
Element x y z (fractional)
Tl1 0.807 0.615 0.095
In1 0.548 0.096 0.750
Pb1 0.000 0.000 0.000
Sr1 0.147 0.295 0.250
Pb2 0.000 0.000 0.500
Tl2 0.193 0.385 0.595
Sr2 0.853 0.705 0.750
Tl3 0.807 0.615 0.405
Tl4 0.193 0.385 0.905
In2 0.452 0.904 0.250

DFT formation energy	-0.655	eV per formula unit

[18]
VASP calculation (PBE) on a relaxed SrTlInPb crystal.

a = 5.658 Å, b = 5.658 Å, c = 5.658 Å
α = 60.00°, β = 60.00°, γ = 60.00°
Element x y z (fractional)
Sr1 0.750 0.750 0.750
Pb1 0.250 0.250 0.250
Tl1 0.000 0.000 0.000
In1 0.500 0.500 0.500

DFT formation energy	-1.086	eV per formula unit

[19]
VASP calculation (PBE) on a relaxed SrTmInPb crystal.

a = 5.552 Å, b = 5.552 Å, c = 5.552 Å
α = 60.00°, β = 60.00°, γ = 60.00°
Element x y z (fractional)
Pb1 0.500 0.500 0.500
Tm1 0.250 0.250 0.250
In1 0.000 0.000 0.000
Sr1 0.750 0.750 0.750

DFT formation energy	-1.423	eV per formula unit

[20]
VASP calculation (PBE) on a relaxed Sr2ZnIn6Pb crystal.

a = 7.260 Å, b = 7.260 Å, c = 14.449 Å
α = 75.45°, β = 75.45°, γ = 60.00°
Element x y z (fractional)
Pb1 0.575 0.575 0.275
In1 0.923 0.331 0.414
Sr1 0.108 0.108 0.677
In2 0.669 0.077 0.586
In3 0.331 0.923 0.414
Pb2 0.425 0.425 0.725
In4 0.077 0.669 0.586
Sr2 0.724 0.724 0.829
In5 0.781 0.781 0.087
In6 0.669 0.669 0.586
Sr3 0.892 0.892 0.323
In7 0.781 0.351 0.087
In8 0.219 0.219 0.913
In9 0.649 0.219 0.913
In10 0.331 0.331 0.414
Sr4 0.276 0.276 0.171
In11 0.351 0.781 0.087
In12 0.219 0.649 0.913
Zn1 0.000 0.000 0.000
Zn2 0.500 0.500 0.500

DFT formation energy	-1.122	eV per formula unit

[21]
VASP calculation (PBE) on a relaxed Sr2Zn4In3Pb crystal.

a = 4.688 Å, b = 4.688 Å, c = 11.576 Å
α = 90.00°, β = 90.00°, γ = 90.00°
Element x y z (fractional)
Zn1 0.500 0.500 0.000
In1 0.000 0.000 0.500
Zn2 0.500 0.000 0.645
In2 0.000 0.500 0.127
Sr1 0.500 0.000 0.240
Zn3 0.000 0.000 0.000
Sr2 0.000 0.500 0.760
Pb1 0.500 0.500 0.500
Zn4 0.000 0.500 0.355
In3 0.500 0.000 0.873

DFT formation energy	-2.579	eV per formula unit

[22]
VASP calculation (PBE) on a relaxed Ta2InPb crystal.

a = 6.391 Å, b = 6.391 Å, c = 7.749 Å
α = 65.64°, β = 65.64°, γ = 90.00°
Element x y z (fractional)
Ta1 0.375 0.386 0.750
Ta2 0.614 0.125 0.250
Pb1 0.750 0.250 0.500
In1 0.500 0.500 0.000
In2 0.250 0.750 0.500
Ta3 0.136 0.625 0.250
Pb2 0.000 0.000 0.000
Ta4 0.875 0.864 0.750

DFT formation energy	7.959	eV per formula unit

[23]
VASP calculation (PBE) on a relaxed TaInPb3 crystal.

a = 5.543 Å, b = 5.543 Å, c = 5.543 Å
α = 90.00°, β = 90.00°, γ = 90.00°
Element x y z (fractional)
In1 0.500 0.500 0.500
Ta1 0.000 0.000 0.000
Pb1 0.000 0.000 0.500
Pb2 0.000 0.500 0.000
Pb3 0.500 0.000 0.000

DFT formation energy	2.373	eV per formula unit

[24]
VASP calculation (PBE) on a relaxed Ta2InPb crystal.

a = 3.669 Å, b = 3.667 Å, c = 6.319 Å
α = 90.00°, β = 90.00°, γ = 90.00°
Element x y z (fractional)
Ta1 0.000 0.000 0.030
Ta2 0.500 0.500 0.229
In1 0.000 0.000 0.485
Pb1 0.500 0.500 0.756

DFT formation energy	1.297	eV per formula unit